Computed, not measured: a geometry-optimized CaZr2Sc structure at the PBE level of DFT.

Its energy above the most stable polymorph in this dataset is 0.060 eV per atom. As for the formation energy: 21.0 kJ/mol of atoms. The total DFT energy (no corrections) is -24.56 eV/cell. The size of the total moment is 0.0 μB/f.u. The calculation puts the density of states at the Fermi level at 1.334 states/eV/atom.

a b c (Å): 3.2178 4.6486 7.0438
angles (deg): 90.00 90.00 90.00
Atoms (fractional coordinates):
Ca (0.5000, 0.5000, 0.2500)
Zr (0.0000, 0.0000, 0.9605)
Sc (0.5000, 0.5000, 0.7500)
Zr (0.0000, 0.0000, 0.5395)

Computed, not measured: a geometry-optimized CaZr2Sc structure at the PBE level of DFT.

Its energy above the most stable polymorph in this dataset is 0.252 eV per atom. As for the formation energy: 39.5 kJ/mol of atoms. The total DFT energy (no corrections) is -23.79 eV/cell. The size of the total moment is 0.0 μB/f.u. The calculation puts the density of states at the Fermi level at 1.673 states/eV/atom.

a b c (Å): 5.4392 5.4392 3.4741
angles (deg): 90.00 90.00 90.00
Atoms (fractional coordinates):
Zr (0.0000, 0.0000, 0.0000)
Sc (0.0000, 0.5000, 0.5000)
Zr (0.5000, 0.5000, 0.0000)
Ca (0.5000, 0.0000, 0.5000)